No. 1
First-principles (GGA-PBE) data for an optimized crystal structure of PmNdIrPt, as listed in the Alexandria database.

Cell: 5.042 5.042 5.042 Å, 60.00 60.00 60.00°
Fractional coordinates of all 4 atoms:
Ir 0.750 0.750 0.750
Nd 0.500 0.500 0.500
Pt 0.250 0.250 0.250
Pm 0.000 0.000 0.000

Calculated values
SG: F-43m (216)
energy relative to the elements: -0.834 eV/atom
energy relative to the lowest polymorph listed for this composition: 66 meV per atom



No. 2
First-principles (GGA-PBE) data for an optimized crystal structure of PmNdIrPt, as listed in the Alexandria database.

Cell: 3.961 4.374 5.816 Å, 90.00 109.91 90.00°
Fractional coordinates of all 4 atoms:
Pm 0.861 0.500 0.721
Nd 0.142 0.000 0.285
Ir 0.413 0.000 0.826
Pt 0.584 0.500 0.168

Calculated values
SG: Amm2 (38)
energy relative to the elements: -0.900 eV/atom
energy relative to the lowest polymorph listed for this composition: 0 meV per atom



No. 3
First-principles (GGA-PBE) data for an optimized crystal structure of PmNdIrRh, as listed in the Alexandria database.

Cell: 3.993 4.242 5.812 Å, 90.00 110.09 90.00°
Fractional coordinates of all 4 atoms:
Pm 0.857 0.500 0.713
Nd 0.144 0.000 0.287
Ir 0.419 0.000 0.838
Rh 0.581 0.500 0.161

Calculated values
SG: Amm2 (38)
energy relative to the elements: -0.668 eV/atom
energy relative to the lowest polymorph listed for this composition: 0 meV per atom



No. 4
First-principles (GGA-PBE) data for an optimized crystal structure of PmNdIrRh, as listed in the Alexandria database.

Cell: 4.996 4.996 4.996 Å, 60.00 60.00 60.00°
Fractional coordinates of all 4 atoms:
Rh 0.500 0.500 0.500
Ir 0.000 0.000 0.000
Nd 0.250 0.250 0.250
Pm 0.750 0.750 0.750

Calculated values
SG: F-43m (216)
energy relative to the elements: -0.643 eV/atom
energy relative to the lowest polymorph listed for this composition: 25 meV per atom



No. 5
First-principles (GGA-PBE) data for an optimized crystal structure of PmNdTlIr, as listed in the Alexandria database.

Cell: 3.791 5.053 5.418 Å, 90.00 90.00 90.00°
Fractional coordinates of all 4 atoms:
Pm 0.500 0.500 0.334
Nd 0.500 0.000 0.808
Tl 0.000 0.500 0.858
Ir 0.000 0.000 0.216

Calculated values
SG: Pmm2 (25)
energy relative to the elements: -0.376 eV/atom
energy relative to the lowest polymorph listed for this composition: 0 meV per atom



No. 6
First-principles (GGA-PBE) data for an optimized crystal structure of PmNdTlIr, as listed in the Alexandria database.

Cell: 5.246 5.246 5.246 Å, 60.00 60.00 60.00°
Fractional coordinates of all 4 atoms:
Tl 0.000 0.000 0.000
Ir 0.500 0.500 0.500
Nd 0.750 0.750 0.750
Pm 0.250 0.250 0.250

Calculated values
SG: F-43m (216)
energy relative to the elements: -0.367 eV/atom
energy relative to the lowest polymorph listed for this composition: 9 meV per atom



No. 7
First-principles (GGA-PBE) data for an optimized crystal structure of PrNdIr2, as listed in the Alexandria database.

Cell: 5.038 5.038 5.038 Å, 60.00 60.00 60.00°
Fractional coordinates of all 4 atoms:
Pr 0.000 0.000 0.000
Ir 0.250 0.250 0.250
Ir 0.750 0.750 0.750
Nd 0.500 0.500 0.500

Calculated values
SG: Fm-3m (225)
energy relative to the elements: -0.515 eV/atom
energy relative to the lowest polymorph listed for this composition: 86 meV per atom



No. 8
First-principles (GGA-PBE) data for an optimized crystal structure of PrNd3Ir, as listed in the Alexandria database.

Cell: 5.641 5.641 5.641 Å, 90.00 90.00 90.00°
Fractional coordinates of all 5 atoms:
Pr 0.500 0.500 0.500
Ir 0.000 0.000 0.000
Nd 0.000 0.500 0.000
Nd 0.000 0.000 0.500
Nd 0.500 0.000 0.000

Calculated values
SG: Pm-3m (221)
energy relative to the elements: -0.164 eV/atom
energy relative to the lowest polymorph listed for this composition: 94 meV per atom



no.,N(E_F) (states/eV/f.u.)
1,2.16
2,2.38
3,1.38
4,2.02
5,2.18
6,3.64
7,3.22
8,8.20